Here is a relaxed Nd2YCd2 crystal from the Alexandria database. Energies are from PBE-GGA.

Values from the calculation:
Its symmetry is No. 11. The raw total energy is -38.3 eV for the cell shown. The value obtained for the density of states at the Fermi level is 1.095 states/eV per atom. As for the crystal system: monoclinic.

Lattice parameters (Å, degrees): 3.7788 5.4127 14.3544 90.00 97.56 90.00
Last column: nearest neighbours and their distance in Å.
Atoms (fractional coordinates):
1 Nd 0.0442 0.2500 0.0872  8 Cd 3.30-3.43, 2 Nd 3.67
2 Nd 0.2333 0.2500 0.4685  2 Cd 3.31-3.32, 4 Nd 3.42, 2 Y 3.64
3 Nd 0.7667 0.7500 0.5315  2 Cd 3.31-3.32, 4 Nd 3.42, 2 Y 3.64
4 Nd 0.9558 0.7500 0.9128  8 Cd 3.30-3.43, 2 Nd 3.67
5 Y 0.1494 0.7500 0.2976  6 Cd 3.23-3.31
6 Y 0.8506 0.2500 0.7024  6 Cd 3.23-3.31
7 Cd 0.3616 0.7500 0.7229  4 Nd 3.30-3.32, 4 Y 3.31, 2 Cd 3.57
8 Cd 0.4427 0.2500 0.8863  2 Y 3.23, 6 Nd 3.32-3.43, 2 Cd 3.57
9 Cd 0.5573 0.7500 0.1137  2 Y 3.23, 6 Nd 3.32-3.43, 2 Cd 3.57
10 Cd 0.6384 0.2500 0.2771  4 Nd 3.30-3.32, 4 Y 3.31, 2 Cd 3.57